Compound: SrY2Tl
Source: the Alexandria database
Functional: PBE-GGA
Structure: relaxed

It has space group I-4m2 (No. 119), with a = 4.931 Å, b = 4.931 Å, c = 10.486 Å, α = 90.00°, β = 90.00° and γ = 90.00°. Symmetry generates all atoms from Sr at (0.000, 0.000, 0.000), Y at (0.000, 0.000, 0.500), Y at (0.000, 0.500, 0.250) and Tl at (0.000, 0.500, 0.750).

The crystal system is tetragonal. The value obtained for the energy relative to the elements is -0.08 eV per formula unit. For the relative energy among the computed polymorphs, the calculation gives 133.9 meV per atom. The value obtained for the volume is 31.9 Å³ per atom. For the total energy, the calculation gives -4.26 eV per atom. Its density of states at the Fermi level is 9.786 states/eV per cell.



Compound: SrYTl
Source: the Alexandria database
Functional: PBE-GGA
Structure: relaxed

It has space group C2/m (No. 12), with a = 9.264 Å, b = 5.344 Å, c = 8.970 Å, α = 90.00°, β = 110.14° and γ = 90.00°. Symmetry generates all atoms from Sr at (0.211, 0.000, 0.133), Y at (0.133, 0.500, 0.401) and Tl at (0.063, 0.000, 0.687).

The crystal system is monoclinic. The value obtained for the energy relative to the elements is -0.63 eV per formula unit. For the relative energy among the computed polymorphs, the calculation gives 96.4 meV per atom. The value obtained for the volume is 34.7 Å³ per atom. For the total energy, the calculation gives -3.71 eV per atom. Its density of states at the Fermi level is 2.409 states/eV per cell.



Compound: SrYTl
Source: the Alexandria database
Functional: PBE-GGA
Structure: relaxed

It has space group Pm (No. 6), with a = 5.793 Å, b = 3.890 Å, c = 9.383 Å, α = 90.00°, β = 107.92° and γ = 90.00°. Symmetry generates all atoms from Sr at (0.000, 0.000, 0.000), Sr at (0.365, 0.000, 0.728), Y at (0.277, 0.500, 0.364), Y at (0.767, 0.000, 0.365), Tl at (0.536, 0.500, 0.082) and Tl at (0.819, 0.500, 0.647).

The crystal system is monoclinic. The value obtained for the energy relative to the elements is -0.70 eV per formula unit. For the relative energy among the computed polymorphs, the calculation gives 74.0 meV per atom. The value obtained for the volume is 33.5 Å³ per atom. For the total energy, the calculation gives -3.74 eV per atom. Its density of states at the Fermi level is 5.961 states/eV per cell.



Compound: Sr4YTl
Source: the Alexandria database
Functional: PBE-GGA
Structure: relaxed

It has space group F-43m (No. 216), with a = 10.275 Å, b = 10.275 Å, c = 10.275 Å, α = 90.00°, β = 90.00° and γ = 90.00°. Symmetry generates all atoms from Sr at (0.124, 0.124, 0.376), Y at (0.250, 0.250, 0.750) and Tl at (0.000, 0.000, 0.000).

The crystal system is cubic. The value obtained for the energy relative to the elements is 2.38 eV per formula unit. The value obtained for the volume is 45.2 Å³ per atom. For the total energy, the calculation gives -2.20 eV per atom. Its density of states at the Fermi level is 33.704 states/eV per cell.



Compound: SrYTl
Source: the Alexandria database
Functional: PBE-GGA
Structure: relaxed

It has space group Pnma (No. 62), with a = 9.029 Å, b = 3.625 Å, c = 12.269 Å, α = 90.00°, β = 90.00° and γ = 90.00°. Symmetry generates all atoms from Sr at (0.169, 0.250, 0.086), Y at (0.073, 0.250, 0.371) and Tl at (0.136, 0.250, 0.800).

The crystal system is orthorhombic. The value obtained for the energy relative to the elements is -0.62 eV per formula unit. For the relative energy among the computed polymorphs, the calculation gives 101.4 meV per atom. The value obtained for the volume is 33.5 Å³ per atom. For the total energy, the calculation gives -3.71 eV per atom. Its density of states at the Fermi level is 12.969 states/eV per cell.



Compound: Sr3Y5Tl12
Source: the Alexandria database
Functional: PBE-GGA
Structure: relaxed

It has space group Ia-3d (No. 230), with a = 18.283 Å, b = 18.283 Å, c = 18.283 Å, α = 90.00°, β = 90.00° and γ = 90.00°. Symmetry generates all atoms from Sr at (0.000, 0.250, 0.125), Y at (0.000, 0.000, 0.000), Y at (0.000, 0.250, 0.375) and Tl at (0.008, 0.073, 0.650).

The crystal system is cubic. The value obtained for the energy relative to the elements is 3.34 eV per formula unit. The value obtained for the volume is 38.2 Å³ per atom. For the total energy, the calculation gives -3.12 eV per atom. Its density of states at the Fermi level is 100.110 states/eV per cell.



Compound: SrY2Tl
Source: the Alexandria database
Functional: PBE-GGA
Structure: relaxed

It has space group I-42d (No. 122), with a = 4.799 Å, b = 4.799 Å, c = 23.960 Å, α = 90.00°, β = 90.00° and γ = 90.00°. Symmetry generates all atoms from Sr at (0.000, 0.000, 0.000), Y at (0.225, 0.250, 0.625) and Tl at (0.000, 0.000, 0.500).

The crystal system is tetragonal. The value obtained for the energy relative to the elements is 0.77 eV per formula unit. For the relative energy among the computed polymorphs, the calculation gives 345.8 meV per atom. The value obtained for the volume is 34.5 Å³ per atom. For the total energy, the calculation gives -4.05 eV per atom. Its density of states at the Fermi level is 23.789 states/eV per cell.



Compound: SrYTl
Source: the Alexandria database
Functional: PBE-GGA
Structure: relaxed

It has space group P6_3/mmc (No. 194), with a = 5.5263 Å, b = 5.5263 Å, c = 7.3534 Å, α = 90.00°, β = 90.00° and γ = 120.00°. Symmetry generates all atoms from Sr at (0.0000, 0.0000, 0.0000), Y at (0.3333, 0.6667, 0.2500) and Tl at (0.3333, 0.6667, 0.7500).

The crystal system is hexagonal. The value obtained for the energy relative to the elements is -0.73 eV per formula unit. For the relative energy among the computed polymorphs, the calculation gives 62.3 meV per atom. The value obtained for the volume is 32.4 Å³ per atom. For the total energy, the calculation gives -3.75 eV per atom. Its density of states at the Fermi level is 0.861 states/eV per cell.



Compound: SrYTl
Source: the Alexandria database
Functional: PBE-GGA
Structure: relaxed

It has space group Pnma (No. 62), with a = 8.498 Å, b = 5.234 Å, c = 9.259 Å, α = 90.00°, β = 90.00° and γ = 90.00°. Symmetry generates all atoms from Sr at (0.018, 0.250, 0.180), Y at (0.149, 0.250, 0.577) and Tl at (0.220, 0.750, 0.396).

The crystal system is orthorhombic. The value obtained for the energy relative to the elements is -0.92 eV per formula unit. For the relative energy among the computed polymorphs, the calculation gives 0.0 meV per atom. The value obtained for the volume is 34.3 Å³ per atom. For the total energy, the calculation gives -3.81 eV per atom. Its density of states at the Fermi level is 0.050 states/eV per cell.



Compound: Sr3YTl4
Source: the Alexandria database
Functional: PBE-GGA
Structure: relaxed

It has space group P4/mmm (No. 123), with a = 3.992 Å, b = 3.992 Å, c = 16.283 Å, α = 90.00°, β = 90.00° and γ = 90.00°. Symmetry generates all atoms from Sr at (0.000, 0.000, 0.000), Sr at (0.000, 0.000, 0.258), Y at (0.000, 0.000, 0.500), Tl at (0.500, 0.500, 0.127) and Tl at (0.500, 0.500, 0.391).

The crystal system is tetragonal. The value obtained for the energy relative to the elements is -3.25 eV per formula unit. The value obtained for the volume is 32.4 Å³ per atom. For the total energy, the calculation gives -3.03 eV per atom. Its density of states at the Fermi level is 5.924 states/eV per cell.